Compound: Al2OsRh
Source: Alexandria
Functional: PBEsol
Structure: relaxed

abc: 2.7612 4.0122 5.0353
angles: 90.00 93.72 90.00
Positions (direct):
Rh1 0.0000 0.5000 0.5000
Al1 0.7999 0.0000 0.7532
Al2 0.2001 0.0000 0.2468
Os1 0.5000 0.5000 0.0000

Values from the calculation:
Calculated formation energy: -0.35 eV/atom
Symmetry: P2/m

Compound: Al2OsRh
Source: Alexandria
Functional: PBEsol
Structure: relaxed

abc: 3.1360 3.1360 5.6328
angles: 90.00 90.00 90.00
Positions (direct):
Al1 0.0000 0.0000 0.9883
Al2 0.5000 0.5000 0.2619
Os1 0.0000 0.0000 0.4665
Rh1 0.5000 0.5000 0.7832

Values from the calculation:
Calculated formation energy: -0.34 eV/atom
Symmetry: P4mm

Compound: ZrAlOs2S
Source: Alexandria
Functional: PBEsol
Structure: relaxed

abc: 4.3227 4.3227 4.6300
angles: 90.00 90.00 90.00
Positions (direct):
Os1 0.5000 0.0000 0.0000
Os2 0.0000 0.5000 0.0000
S1 0.0000 0.0000 0.0000
Al1 0.5000 0.5000 0.5000
Zr1 0.0000 0.0000 0.5000

Values from the calculation:
Uncorrected formation energy: 0.3795 eV per atom
Symmetry: P4/mmm

Compound: AlSb2Os
Source: Alexandria
Functional: PBEsol
Structure: relaxed

abc: 3.2351 4.5347 6.2711
angles: 101.81 90.00 110.90
Positions (direct):
Sb1 0.0183 0.0367 0.0642
Sb2 0.2493 0.4986 0.6791
Os1 0.7499 0.4997 0.3234
Al1 0.4825 0.9650 0.4332

Values from the calculation:
Uncorrected formation energy: 0.1285 eV per atom
Symmetry: Cm

Compound: AlSb2Os
Source: Alexandria
Functional: PBEsol
Structure: relaxed

abc: 3.0533 3.0533 10.0775
angles: 90.00 90.00 119.41
Positions (direct):
Al1 0.5000 0.5000 0.5000
Os1 0.5000 0.5000 0.0000
Sb1 0.0000 0.0000 0.2201
Sb2 0.0000 0.0000 0.7799

Values from the calculation:
Uncorrected formation energy: 0.5550 eV per atom
Symmetry: Cmmm

Compound: Sc2AlOs
Source: Alexandria
Functional: PBEsol
Structure: relaxed

abc: 3.1348 3.1348 7.5283
angles: 90.00 90.00 90.00
Positions (direct):
Os1 0.5000 0.5000 0.7241
Sc1 0.0000 0.0000 0.9359
Sc2 0.5000 0.5000 0.2885
Al1 0.0000 0.0000 0.5515

Values from the calculation:
Calculated formation energy: -0.32 eV/atom
Symmetry: P4mm

Compound: Sc6Al16Os7
Source: Alexandria
Functional: PBEsol
Structure: relaxed

abc: 8.6952 8.6952 8.6952
angles: 60.00 60.00 60.00
Positions (direct):
Al1 0.1208 0.1208 0.6376
Al2 0.3376 0.9872 0.3376
Al3 0.1208 0.1208 0.1208
Al4 0.6624 0.6624 0.6624
Al5 0.3624 0.8792 0.8792
Al6 0.3376 0.3376 0.9872
Al7 0.1208 0.6376 0.1208
Al8 0.9872 0.3376 0.3376
Al9 0.8792 0.8792 0.8792
Al10 0.3376 0.3376 0.3376
Al11 0.6376 0.1208 0.1208
Al12 0.6624 0.6624 0.0128
Al13 0.0128 0.6624 0.6624
Al14 0.6624 0.0128 0.6624
Al15 0.8792 0.8792 0.3624
Al16 0.8792 0.3624 0.8792
Os1 0.0000 0.5000 0.5000
Os2 0.0000 0.0000 0.5000
Os3 0.5000 0.0000 0.0000
Os4 0.5000 0.0000 0.5000
Os5 0.0000 0.0000 0.0000
Os6 0.5000 0.5000 0.0000
Os7 0.0000 0.5000 0.0000
Sc1 0.2853 0.7147 0.2853
Sc2 0.7147 0.7147 0.2853
Sc3 0.2853 0.7147 0.7147
Sc4 0.7147 0.2853 0.7147
Sc5 0.7147 0.2853 0.2853
Sc6 0.2853 0.2853 0.7147

Values from the calculation:
Calculated formation energy: -0.59 eV/atom
Symmetry: Fm-3m

Compound: Sc2AlOs
Source: Alexandria
Functional: PBEsol
Structure: relaxed

abc: 4.5401 4.5401 4.5401
angles: 60.00 60.00 60.00
Positions (direct):
Os1 0.2500 0.2500 0.2500
Sc1 0.0000 0.0000 0.0000
Sc2 0.7500 0.7500 0.7500
Al1 0.5000 0.5000 0.5000

Values from the calculation:
Calculated formation energy: -0.39 eV/atom
Symmetry: F-43m

Compound: ScAlOs2
Source: Alexandria
Functional: PBEsol
Structure: relaxed

abc: 2.8194 2.8194 7.9088
angles: 90.00 90.00 90.00
Positions (direct):
Os1 0.0000 0.0000 0.0089
Os2 0.5000 0.5000 0.2205
Sc1 0.0000 0.0000 0.4863
Al1 0.5000 0.5000 0.7843

Values from the calculation:
Calculated formation energy: -0.27 eV/atom
Symmetry: P4mm

Compound: ScAlOs2
Source: Alexandria
Functional: PBEsol
Structure: relaxed

abc: 3.0352 4.2922 5.2933
angles: 113.93 106.66 90.00
Positions (direct):
Os1 0.0020 0.5020 0.0040
Os2 0.7365 0.7364 0.4729
Al1 0.2665 0.2665 0.5330
Sc1 0.4950 0.9950 0.9901

Values from the calculation:
Calculated formation energy: -0.35 eV/atom
Symmetry: Imm2

Compound: Sc2AlOs
Source: Alexandria
Functional: PBEsol
Structure: relaxed

abc: 3.2775 3.2775 6.4859
angles: 90.00 90.00 90.00
Positions (direct):
Sc1 0.0000 0.0000 0.9795
Sc2 0.0000 0.0000 0.5205
Al1 0.5000 0.5000 0.2500
Os1 0.5000 0.5000 0.7500

Values from the calculation:
Calculated formation energy: -0.52 eV/atom
Symmetry: P4/mmm

Compound: Sc4AlOs
Source: Alexandria
Functional: PBEsol
Structure: relaxed

abc: 5.3948 5.3948 5.3948
angles: 60.00 60.00 60.00
Positions (direct):
Sc1 0.3729 0.8814 0.3729
Sc2 0.8814 0.3729 0.3729
Sc3 0.3729 0.3729 0.8814
Sc4 0.3729 0.3729 0.3729
Al1 0.7500 0.7500 0.7500
Os1 0.0000 0.0000 0.0000

Values from the calculation:
Calculated formation energy: 0.39 eV/atom
Symmetry: F-43m

| no. | electronic total energy (eV per atom) |
| --- | --- |
| 1 | -7.48 |
| 2 | -7.47 |
| 3 | -8.02 |
| 4 | -6.23 |
| 5 | -5.80 |
| 6 | -7.70 |
| 7 | -7.17 |
| 8 | -7.77 |
| 9 | -9.06 |
| 10 | -9.13 |
| 11 | -7.90 |
| 12 | -6.73 |